No. 1
Density functional theory data (GGA-PBE) for an optimized crystal structure of Ac2TmPaN4.

Unit cell a=6.170 b=3.631 c=6.516 alpha=90.00 beta=108.44 gamma=90.00
Space group P2/m (No. 10)
Symmetry-distinct sites (fractional):
Ac: 0.000 0.000 0.000
Ac: 0.500 0.500 0.000
Tm: 0.000 0.500 0.500
Pa: 0.500 0.000 0.500
N: 0.248 0.000 0.703
N: 0.275 0.500 0.303

Results
DOS at the Fermi energy (states/eV/cell): 2.61
E_form (uncorrected) (meV per atom): -1416
Total moment (μB per cell): 0.0

No. 2
Density functional theory data (GGA-PBE) for an optimized crystal structure of BaAl2Te.

Unit cell a=4.573 b=4.821 c=11.276 alpha=90.00 beta=90.00 gamma=90.00
Space group Imm2 (No. 44)
Symmetry-distinct sites (fractional):
Ba: 0.000 0.000 0.000
Al: 0.000 0.000 0.614
Al: 0.000 0.500 0.259
Te: 0.000 0.500 0.757

Results
DOS at the Fermi energy (states/eV/cell): 4.51
E_form (uncorrected) (meV per atom): -292
Total moment (μB per cell): 0.0

No. 3
Density functional theory data (GGA-PBE) for an optimized crystal structure of SrHgRu2.

Unit cell a=3.067 b=4.318 c=6.497 alpha=90.00 beta=90.00 gamma=90.00
Space group Pmmm (No. 47)
Symmetry-distinct sites (fractional):
Sr: 0.000 0.000 0.000
Hg: 0.000 0.000 0.500
Ru: 0.500 0.500 0.318

Results
DOS at the Fermi energy (states/eV/cell): 4.77
Formation enthalpy at 0 K (eV per formula unit): 2.61
Total moment (μB per cell): 1.8

No. 4
Density functional theory data (GGA-PBE) for an optimized crystal structure of SmThMg.

Unit cell a=5.4748 b=5.4748 c=3.4834 alpha=90.00 beta=90.00 gamma=120.00
Space group P3m1 (No. 156)
Symmetry-distinct sites (fractional):
Sm: 0.0000 0.0000 0.0000
Th: 0.3333 0.6667 0.4385
Mg: 0.6667 0.3333 0.7884

Results
DOS at the Fermi energy (states/eV/cell): 3.58
Formation enthalpy at 0 K (eV per formula unit): 0.38
Total moment (μB per cell): 0.0

No. 5
Density functional theory data (GGA-PBE) for an optimized crystal structure of Dy4PtSeS2.

Unit cell a=6.997 b=3.934 c=7.002 alpha=90.00 beta=108.86 gamma=90.00
Space group P2/m (No. 10)
Symmetry-distinct sites (fractional):
Dy: 0.241 0.000 0.239
Dy: 0.242 0.500 0.751
Pt: 0.000 0.000 0.500
Se: 0.500 0.500 0.500
S: 0.000 0.500 0.000
S: 0.500 0.000 0.000

Results
DOS at the Fermi energy (states/eV/cell): 3.95
E_form (uncorrected) (meV per atom): -1719
Total moment (μB per cell): 0.0

No. 6
Density functional theory data (GGA-PBE) for an optimized crystal structure of BeTeMo3.

Unit cell a=4.863 b=4.863 c=4.863 alpha=90.00 beta=90.00 gamma=90.00
Space group Pm-3m (No. 221)
Symmetry-distinct sites (fractional):
Be: 0.000 0.000 0.000
Te: 0.500 0.500 0.500
Mo: 0.000 0.500 0.500

Results
DOS at the Fermi energy (states/eV/cell): 6.35
E_form (uncorrected) (meV per atom): 2187
Total moment (μB per cell): 0.0

No. 7
Density functional theory data (GGA-PBE) for an optimized crystal structure of DyThSc3.

Unit cell a=3.416 b=15.516 c=11.022 alpha=90.00 beta=90.00 gamma=90.00
Space group Cmmm (No. 65)
Symmetry-distinct sites (fractional):
Dy: 0.000 0.142 0.000
Th: 0.000 0.143 0.500
Sc: 0.000 0.000 0.255
Sc: 0.000 0.330 0.251

Results
DOS at the Fermi energy (states/eV/cell): 33.08
Formation enthalpy at 0 K (eV per formula unit): 1.41
Total moment (μB per cell): 0.0

No. 8
Density functional theory data (GGA-PBE) for an optimized crystal structure of TbHfOs.

Unit cell a=7.085 b=4.450 c=12.652 alpha=90.00 beta=90.19 gamma=90.00
Space group P2_1/m (No. 11)
Symmetry-distinct sites (fractional):
Tb: 0.006 0.250 0.209
Tb: 0.373 0.250 0.410
Tb: 0.483 0.250 0.121
Hf: 0.032 0.750 0.412
Hf: 0.146 0.750 0.042
Hf: 0.339 0.250 0.713
Os: 0.203 0.750 0.603
Os: 0.228 0.250 0.929
Os: 0.292 0.750 0.253

Results
DOS at the Fermi energy (states/eV/cell): 17.80
Formation enthalpy at 0 K (eV per formula unit): -1.04
Total moment (μB per cell): 0.0